First-principles (PBE) data for a relaxed La2Dy5YTm crystal, as listed in the Alexandria database.

The structure in POSCAR format:
```
La2Dy5YTm
1.0
2.824 -9.957 0.000
2.824 9.957 0.000
0.000 0.000 10.700
La Dy Y Tm
4 10 2 2
Cartesian
2.824 7.703 5.350
2.824 7.656 0.898
2.824 -7.656 6.248
2.824 -7.703 0.000
2.824 9.641 8.445
2.824 4.379 0.810
2.824 4.007 5.062
2.824 2.272 8.427
2.824 0.385 5.426
2.824 -0.385 0.076
2.824 -2.272 3.077
2.824 -4.007 10.412
2.824 -4.379 6.160
2.824 -9.641 3.095
2.824 1.763 2.441
2.824 -1.763 7.791
2.824 5.965 8.327
2.824 -5.965 2.977
```

M_tot   0.0 μB per cell
Theoretical density   7440 kg/m³
Space group   Cmc2_1
Energy   -85.045 eV per cell
Crystal system   orthorhombic